# 1
Here is an optimized crystal structure of Cu2IrPt from Alexandria. Energies are from PBE-GGA.

Cell lengths 5.2052, 5.2052, 5.2052 Å; angles 150.00, 126.67, 62.41 degrees
Element x y z (fractional)
1 Pt 0.2500 0.7500 0.5000
2 Ir 0.7500 0.2500 0.5000
3 Cu 0.9979 0.9979 0.0000
4 Cu 0.5021 0.5021 0.0000

Computed properties:
* DFT formation energy: 22.0 kJ/mol of formula units
* mass density: 15.24 g/cm³
* space group: No. 71
* E above lowest polymorph: 0.099 eV per atom
* final energy: -0.2101 hartree per atom



# 2
Here is an optimized crystal structure of HgH5CSBr3 from Alexandria. Energies are from PBE-GGA.

Cell lengths 8.5402, 8.0845, 16.4721 Å; angles 90.72, 115.92, 89.55 degrees
Element x y z (fractional)
1 Hg 0.5441 0.9829 0.7751
2 Hg 0.4494 0.0469 0.2395
3 Hg 0.4137 0.4884 0.7488
4 Hg 0.5886 0.5391 0.2817
5 H 0.2321 0.3586 0.3821
6 H 0.0878 0.1997 0.2844
7 H 0.0242 0.3258 0.7941
8 H 0.9420 0.1510 0.8598
9 H 0.3261 0.0495 0.4239
10 H 0.2536 0.1146 0.5069
11 H 0.8234 0.8404 0.9813
12 H 0.9808 0.8696 0.6960
13 H 0.8931 0.5830 0.6009
14 H 0.1209 0.9753 0.4175
15 H 0.6622 0.6709 0.9913
16 H 0.8413 0.7086 0.4855
17 H 0.0945 0.8356 0.6272
18 H 0.9274 0.9932 0.5975
19 H 0.9637 0.5726 0.0860
20 H 0.0583 0.7614 0.1472
21 H 0.1841 0.2755 0.0194
22 H 0.2746 0.2111 0.9431
23 H 0.9137 0.6432 0.1765
24 H 0.2609 0.4276 0.9667
25 Br 0.4275 0.7172 0.6414
26 Br 0.5675 0.2271 0.6781
27 Br 0.9064 0.6722 0.3749
28 Br 0.4342 0.7754 0.1426
29 Br 0.6006 0.2956 0.1751
30 Br 0.0818 0.3711 0.6772
31 Br 0.1102 0.1341 0.1648
32 Br 0.4172 0.5540 0.3795
33 Br 0.8917 0.8900 0.8669
34 Br 0.3756 0.9152 0.8652
35 Br 0.6410 0.0823 0.4102
36 Br 0.5846 0.4260 0.9186
37 S 0.7607 0.8025 0.0446
38 S 0.0937 0.2529 0.3684
39 S 0.8013 0.7257 0.5603
40 S 0.9820 0.3212 0.8674
41 C 0.2127 0.0790 0.4361
42 C 0.9441 0.6806 0.1212
43 C 0.1995 0.3063 0.9586
44 C 0.9706 0.8710 0.6273

Computed properties:
* mass density: 3.18 g/cm³
* space group: No. 1
* final energy: -0.1292 hartree per atom



# 3
Here is an optimized crystal structure of CoAg2Mo from Alexandria. Energies are from PBE-GGA.

Cell lengths 5.4035, 5.4035, 5.4035 Å; angles 149.45, 127.46, 62.00 degrees
Element x y z (fractional)
1 Ag 0.7283 0.2283 0.5000
2 Ag 0.0045 0.0045 0.0000
3 Mo 0.2844 0.7844 0.5000
4 Co 0.4829 0.4829 0.0000

Computed properties:
* DFT formation energy: 214.2 kJ/mol of formula units
* mass density: 9.76 g/cm³
* space group: No. 44
* E above lowest polymorph: 0.276 eV per atom
* final energy: -0.1968 hartree per atom



# 4
Here is an optimized crystal structure of Pr2AlPd2 from Alexandria. Energies are from PBE-GGA.

Cell lengths 6.0241, 7.3354, 7.4015 Å; angles 119.71, 114.01, 90.00 degrees
Element x y z (fractional)
1 Pd 0.3979 0.6389 0.7957
2 Pd 0.6021 0.3611 0.2043
3 Pd 0.1021 0.8432 0.2043
4 Pd 0.8979 0.1568 0.7957
5 Pr 0.3512 0.0141 0.7024
6 Pr 0.8512 0.6883 0.7024
7 Pr 0.6488 0.9859 0.2976
8 Pr 0.1488 0.3117 0.2976
9 Al 0.7500 0.5000 0.0000
10 Al 0.2500 0.5000 0.0000

Computed properties:
* DFT formation energy: -309.8 kJ/mol of formula units
* mass density: 6.90 g/cm³
* space group: No. 72
* final energy: -0.1977 hartree per atom